(1)
Computed, not measured: an optimized crystal structure of TbCeErTm3 at the PBE level of DFT.

The space group is Cmcm (No. 63) and the conventional cell measures 4.973, 14.862 and 9.923 Å, with angles of 90.00, 90.00 and 90.00 degrees. The inequivalent atoms are Tb at (0.000, 0.000, 0.000), Ce at (0.000, 0.500, 0.250), Er at (0.000, 0.168, 0.250), Tm at (0.000, 0.167, 0.750) and Tm at (0.000, 0.335, 0.000).

For the size of the total moment, the calculation gives 1.026 μB per formula unit. The formation enthalpy at 0 K is 5.4 kJ/mol of atoms.

(2)
Computed, not measured: an optimized crystal structure of Tb3Ce2Er6Tm at the PBE level of DFT.

The space group is C2/m (No. 12) and the conventional cell measures 6.096, 10.554 and 11.636 Å, with angles of 90.00, 100.05 and 90.00 degrees. The inequivalent atoms are Tb at (0.000, 0.000, 0.000), Tb at (0.000, 0.334, 0.000), Ce at (0.000, 0.166, 0.500), Er at (0.248, 0.000, 0.748), Er at (0.249, 0.167, 0.252) and Tm at (0.000, 0.500, 0.500).

For the size of the total moment, the calculation gives 1.750 μB per formula unit. The formation enthalpy at 0 K is 4.2 kJ/mol of atoms.

(3)
Computed, not measured: an optimized crystal structure of Tb4CeEr2Tm at the PBE level of DFT.

The space group is P2/m (No. 10) and the conventional cell measures 6.134, 3.539 and 11.503 Å, with angles of 90.00, 100.45 and 90.00 degrees. The inequivalent atoms are Tb at (0.245, 0.000, 0.250), Tb at (0.249, 0.500, 0.749), Ce at (0.000, 0.500, 0.000), Er at (0.500, 0.000, 0.000), Er at (0.500, 0.500, 0.500) and Tm at (0.000, 0.000, 0.500).

For the size of the total moment, the calculation gives 0.765 μB per formula unit. The formation enthalpy at 0 K is 4.4 kJ/mol of atoms.